1.
A geometry-optimized Ce3Al2Ir3 structure. Source: Alexandria, functional PBE.

It has space group P6_3/mcm (No. 193), with a = 8.0453 Å, b = 8.0453 Å, c = 5.7349 Å, α = 90.00°, β = 90.00° and γ = 120.00°. The inequivalent atoms are Ce at (0.0000, 0.2648, 0.2500), Al at (0.3333, 0.6667, 0.0000) and Ir at (0.0000, 0.3988, 0.7500).

Its total magnetization is 0.00 μB per atom.


2.
A geometry-optimized CeAl4Ir2 structure. Source: Alexandria, functional PBE.

It has space group Pnma (No. 62), with a = 17.2563 Å, b = 4.2529 Å, c = 6.7065 Å, α = 90.00°, β = 90.00° and γ = 90.00°. The inequivalent atoms are Ce at (0.1394, 0.2500, 0.0296), Al at (0.0339, 0.7500, 0.8434), Al at (0.0714, 0.2500, 0.5002), Al at (0.1860, 0.7500, 0.3436), Al at (0.1929, 0.7500, 0.7400), Ir at (0.0398, 0.7500, 0.2471) and Ir at (0.2190, 0.2500, 0.5432).

Its total magnetization is 0.00 μB per atom.


3.
A geometry-optimized Ce3AlIr3 structure. Source: Alexandria, functional PBE.

It has space group P6_3/m (No. 176), with a = 8.5765 Å, b = 8.5765 Å, c = 5.4929 Å, α = 90.00°, β = 90.00° and γ = 120.00°. The inequivalent atoms are Ce at (0.0504, 0.3541, 0.2500), Al at (0.3333, 0.6667, 0.7500) and Ir at (0.0563, 0.3709, 0.7500).

Its total magnetization is 0.06 μB per atom.


4.
A geometry-optimized Ce4AlIr structure. Source: Alexandria, functional PBE.

It has space group Cmcm (No. 63), with a = 5.2800 Å, b = 19.6858 Å, c = 6.2184 Å, α = 90.00°, β = 90.00° and γ = 90.00°. The inequivalent atoms are Ce at (0.0000, 0.0546, 0.2500), Ce at (0.0000, 0.2119, 0.0312), Ce at (0.0000, 0.4061, 0.2500), Al at (0.0000, 0.3494, 0.7500) and Ir at (0.0000, 0.0864, 0.7500).

Its total magnetization is 0.36 μB per atom.


5.
A geometry-optimized Ce6Al2Ir structure. Source: Alexandria, functional PBE.

It has space group P-62m (No. 189), with a = 8.5728 Å, b = 8.5728 Å, c = 3.5050 Å, α = 90.00°, β = 90.00° and γ = 120.00°. The inequivalent atoms are Ce at (0.0000, 0.4044, 0.0000), Ce at (0.0000, 0.7372, 0.5000), Al at (0.3333, 0.6667, 0.5000) and Ir at (0.0000, 0.0000, 0.0000).

Its total magnetization is 0.17 μB per atom.


6.
A geometry-optimized CeAl2Ir2 structure. Source: Alexandria, functional PBE.

It has space group I4/mmm (No. 139), with a = 4.2084 Å, b = 4.2084 Å, c = 20.9796 Å, α = 90.00°, β = 90.00° and γ = 90.00°. The inequivalent atoms are Ce at (0.0000, 0.0000, 0.1323), Al at (0.0000, 0.0000, 0.3119), Al at (0.0000, 0.5000, 0.0000), Ir at (0.0000, 0.0000, 0.4305) and Ir at (0.0000, 0.5000, 0.2500).

Its total magnetization is 0.16 μB per atom.


7.
A geometry-optimized CeLuAlIr structure. Source: Alexandria, functional PBE.

It has space group F-43m (No. 216), with a = 7.0263 Å, b = 7.0263 Å, c = 7.0263 Å, α = 90.00°, β = 90.00° and γ = 90.00°. The inequivalent atoms are Ce at (0.0000, 0.0000, 0.0000), Lu at (0.0000, 0.0000, 0.5000), Al at (0.2500, 0.2500, 0.2500) and Ir at (0.2500, 0.2500, 0.7500).

Its total magnetization is 0.00 μB per atom.


8.
A geometry-optimized Ce2MgAl2Ir5 structure. Source: Alexandria, functional PBE.

It has space group P4/mbm (No. 127), with a = 9.7959 Å, b = 9.7959 Å, c = 3.6638 Å, α = 90.00°, β = 90.00° and γ = 90.00°. The inequivalent atoms are Ce at (0.1777, 0.3223, 0.0000), Mg at (0.0000, 0.0000, 0.0000), Al at (0.1213, 0.6213, 0.0000), Ir at (0.0000, 0.5000, 0.5000) and Ir at (0.0702, 0.7902, 0.5000).

Its total magnetization is 0.00 μB per atom.


Which total energy belongs to each record? In order, -58.09, -44.09, -52.31, -38.21, -54.75, -35.32, -25.07, -71.71 eV/f.u..